First-principles (PBE) data for an optimized crystal structure of Al3Ir, as listed in Alexandria via LeMat-Bulk.

abc: 8.865 2.939 4.598
angles: 90.00 98.47 90.00
Space group C2/m (No. 12)
Unique sites:
Al (0.000, 0.000, 0.000) (multiplicity 2)
Al (0.241, 0.000, 0.741) (multiplicity 4)
Ir (0.000, 0.500, 0.500) (multiplicity 2)

## Properties
The energy comes out at -44.0 eV per cell. The calculated density comes out at 7.7 Mg/m³. The calculated formation energy is -1.9 eV/f.u.


First-principles (PBE) data for an optimized crystal structure of LaAg2Os, as listed in Alexandria via LeMat-Bulk.

abc: 4.081 4.081 21.157
angles: 90.00 90.00 90.00
Space group I-42d (No. 122)
Unique sites:
La (0.000, 0.000, 0.000) (multiplicity 4)
Ag (0.217, 0.250, 0.625) (multiplicity 8)
Os (0.000, 0.000, 0.500) (multiplicity 4)

## Properties
The energy comes out at -80.3 eV per cell. The calculated density comes out at 10.3 Mg/m³. For the polymorph energy (0 for the lowest one), the calculation gives 235 meV/atom. The calculated formation energy is 1.8 eV/f.u.


First-principles (PBE) data for an optimized crystal structure of BeSiSbTe2, as listed in Alexandria via LeMat-Bulk.

abc: 5.079 5.079 4.725
angles: 90.00 90.00 90.00
Space group P4/mmm (No. 123)
Unique sites:
Be (0.000, 0.000, 0.000) (multiplicity 1)
Si (0.500, 0.500, 0.500) (multiplicity 1)
Sb (0.000, 0.000, 0.500) (multiplicity 1)
Te (0.000, 0.500, 0.000) (multiplicity 2)

## Properties
The energy comes out at -16.4 eV per cell. The calculated density comes out at 5.6 Mg/m³. For the polymorph energy (0 for the lowest one), the calculation gives 0 meV/atom. For the formation energy (no corrections), the calculation gives 0.63 eV per atom.